Below is an optimized crystal structure of PuTiF6, with properties calculated at the PBE level.

Values from the calculation:
Fermi-level density of states: 23.97 states/eV per cell
symmetry: P-31c, No. 163
total DFT energy (no corrections): -7.63 eV per atom
uncorrected formation energy: -3.45 eV per atom

Unit cell a=5.480 b=5.480 c=10.213 alpha=90.00 beta=90.00 gamma=120.00
Atoms (fractional coordinates):
Pu  0.333  0.667  0.250
Pu  0.667  0.333  0.750
Ti  0.000  0.000  0.000
Ti  0.000  0.000  0.500
F  0.027  0.303  0.113
F  0.027  0.723  0.387
F  0.277  0.303  0.387
F  0.277  0.973  0.113
F  0.303  0.027  0.613
F  0.303  0.277  0.887
F  0.697  0.723  0.113
F  0.697  0.973  0.387
F  0.723  0.027  0.887
F  0.723  0.697  0.613
F  0.973  0.277  0.613
F  0.973  0.697  0.887